Record 1
Entry from Alexandria: crystalline CaLa3Sn at its relaxed geometry (PBE).

The space group is Pm-3m (No. 221) and the conventional cell measures 6.226, 6.226 and 6.226 Å, with angles of 90.00, 90.00 and 90.00 degrees. The distinct sites, in fractional coordinates, are Ca at (0.000, 0.000, 0.000), La at (0.000, 0.500, 0.500) and Sn at (0.500, 0.500, 0.500).

For the raw total energy, the calculation gives -4.1075 eV/atom.



Record 2
Entry from Alexandria: crystalline Al4V4Ga at its relaxed geometry (PBE).

The space group is I4/mmm (No. 139) and the conventional cell measures 8.468, 8.468 and 3.615 Å, with angles of 90.00, 90.00 and 90.00 degrees. The distinct sites, in fractional coordinates, are Al at (0.171, 0.171, 0.000), V at (0.000, 0.331, 0.500) and Ga at (0.000, 0.000, 0.500).

For the raw total energy, the calculation gives -6.2181 eV/atom.



Record 3
Entry from Alexandria: crystalline AgP2OsS at its relaxed geometry (PBE).

The space group is P4/mmm (No. 123) and the conventional cell measures 4.622, 4.622 and 4.649 Å, with angles of 90.00, 90.00 and 90.00 degrees. The distinct sites, in fractional coordinates, are Ag at (0.000, 0.000, 0.000), P at (0.000, 0.500, 0.000), Os at (0.500, 0.500, 0.500) and S at (0.000, 0.000, 0.500).

As for the uncorrected formation energy: 941 kJ/mol of formula units. The value obtained for the distance to the lowest polymorph of the same formula is 1.278 eV per atom.



Number 1: ρ 3.96 Mg/m³. Number 2: ρ 4.89 Mg/m³. Number 3: ρ 6.55 Mg/m³.